# PBE-GGA Fe3NiIr, optimized geometry
# - crystal system = trigonal
# - size of the total moment (μB per formula unit) = 9.26
# - excess energy over the best structure of this formula in the dataset (meV/atom) = 793
# - DOS(E_F) (states/eV per atom) = 1.147
# - DFT formation energy (meV per atom) = 885
data_Fe3NiIr
_space_group_name_H-M_alt 'P 1'
_space_group_IT_number 1
_cell_length_a 4.9268
_cell_length_b 4.9268
_cell_length_c 4.9024
_cell_angle_alpha 59.84
_cell_angle_beta 59.84
_cell_angle_gamma 60.00
loop_
_space_group_symop_operation_xyz
'x,y,z'
loop_
_atom_site_label
_atom_site_fract_x
_atom_site_fract_y
_atom_site_fract_z
Fe1 0.4750 0.9750 0.5750
Fe2 0.9750 0.4750 0.5750
Fe3 0.9750 0.9750 0.5750
Ni1 0.4750 0.4750 0.5750
Ir1 0.9750 0.9750 0.0750